No. 1
{
  "formula": "CeScFeCu",
  "functional": "PBE",
  "state": "optimized geometry",
  "e_form_ev_per_atom": -0.04,
  "mass_density_g_cm3": 6.8,
  "total_magnetization_mub_per_cell": 0.690,
  "lattice_angstrom": [[0.000, 3.330, 3.330], [3.330, 0.000, 3.330], [3.330, 3.330, 0.000]],
  "species": ["Ce", "Sc", "Fe", "Cu"],
  "fractional_positions": [[0.000, 0.000, 0.000], [0.500, 0.500, 0.500], [0.750, 0.750, 0.750], [0.250, 0.250, 0.250]]
}

---

No. 2
{
  "formula": "CeSmFeCu",
  "functional": "PBE",
  "state": "optimized geometry",
  "e_form_ev_per_atom": 0.06,
  "mass_density_g_cm3": 8.1,
  "total_magnetization_mub_per_cell": 0.539,
  "lattice_angstrom": [[0.000, 3.471, 3.471], [3.471, 0.000, 3.471], [3.471, 3.471, 0.000]],
  "species": ["Ce", "Sm", "Fe", "Cu"],
  "fractional_positions": [[0.000, 0.000, 0.000], [0.500, 0.500, 0.500], [0.250, 0.250, 0.250], [0.750, 0.750, 0.750]]
}

---

No. 3
{
  "formula": "CeTmFeCu",
  "functional": "PBE",
  "state": "optimized geometry",
  "e_form_ev_per_atom": -0.02,
  "mass_density_g_cm3": 9.0,
  "total_magnetization_mub_per_cell": 0.713,
  "lattice_angstrom": [[0.000, 3.407, 3.407], [3.407, 0.000, 3.407], [3.407, 3.407, 0.000]],
  "species": ["Ce", "Tm", "Fe", "Cu"],
  "fractional_positions": [[0.000, 0.000, 0.000], [0.500, 0.500, 0.500], [0.750, 0.750, 0.750], [0.250, 0.250, 0.250]]
}

---

No. 4
{
  "formula": "Ce3Ga2Cu3",
  "functional": "PBE",
  "state": "optimized geometry",
  "e_form_ev_per_atom": -0.27,
  "mass_density_g_cm3": 7.5,
  "total_magnetization_mub_per_cell": 8.864,
  "lattice_angstrom": [[8.166, 0.000, 0.000], [0.000, 14.541, 0.000], [0.000, 0.000, 5.609]],
  "species": ["Ce", "Ce", "Ce", "Ce", "Ce", "Ce", "Ce", "Ce", "Ce", "Ce", "Ce", "Ce", "Ga", "Ga", "Ga", "Ga", "Ga", "Ga", "Ga", "Ga", "Cu", "Cu", "Cu", "Cu", "Cu", "Cu", "Cu", "Cu", "Cu", "Cu", "Cu", "Cu"],
  "fractional_positions": [[0.054, 0.104, 0.139], [0.054, 0.396, 0.139], [0.182, 0.250, 0.607], [0.318, 0.750, 0.107], [0.446, 0.604, 0.639], [0.446, 0.896, 0.639], [0.554, 0.104, 0.361], [0.554, 0.396, 0.361], [0.682, 0.250, 0.893], [0.818, 0.750, 0.393], [0.946, 0.604, 0.861], [0.946, 0.896, 0.861], [0.103, 0.603, 0.366], [0.103, 0.897, 0.366], [0.397, 0.103, 0.866], [0.397, 0.397, 0.866], [0.603, 0.603, 0.134], [0.603, 0.897, 0.134], [0.897, 0.103, 0.634], [0.897, 0.397, 0.634], [0.170, 0.750, 0.607], [0.184, 0.036, 0.615], [0.184, 0.464, 0.615], [0.316, 0.536, 0.115], [0.316, 0.964, 0.115], [0.330, 0.250, 0.107], [0.670, 0.750, 0.893], [0.684, 0.036, 0.885], [0.684, 0.464, 0.885], [0.816, 0.536, 0.385], [0.816, 0.964, 0.385], [0.830, 0.250, 0.393]]
}

---

No. 5
{
  "formula": "Ce3GaCu3",
  "functional": "PBE",
  "state": "optimized geometry",
  "e_form_ev_per_atom": -0.20,
  "mass_density_g_cm3": 7.7,
  "total_magnetization_mub_per_cell": 5.325,
  "lattice_angstrom": [[2.114, -5.183, 0.000], [2.114, 5.183, 0.000], [0.000, 0.000, 13.440]],
  "species": ["Ce", "Ce", "Ce", "Ce", "Ce", "Ce", "Ga", "Ga", "Cu", "Cu", "Cu", "Cu", "Cu", "Cu"],
  "fractional_positions": [[0.003, 0.997, 0.750], [0.290, 0.710, 0.602], [0.290, 0.710, 0.898], [0.710, 0.290, 0.102], [0.710, 0.290, 0.398], [0.997, 0.003, 0.250], [0.000, 0.000, 0.000], [0.000, 0.000, 0.500], [0.290, 0.710, 0.250], [0.424, 0.576, 0.093], [0.424, 0.576, 0.407], [0.576, 0.424, 0.593], [0.576, 0.424, 0.907], [0.710, 0.290, 0.750]]
}

---

No. 6
{
  "formula": "Ce2Ga5Cu3",
  "functional": "PBE",
  "state": "optimized geometry",
  "e_form_ev_per_atom": -0.46,
  "mass_density_g_cm3": 7.5,
  "de_polymorph_ev_per_atom": 0.000,
  "total_magnetization_mub_per_cell": 1.861,
  "lattice_angstrom": [[-5.069, 5.999, 2.982], [5.069, -5.999, 2.982], [5.069, 5.999, -2.982]],
  "species": ["Ce", "Ce", "Ce", "Ce", "Ga", "Ga", "Ga", "Ga", "Ga", "Ga", "Ga", "Ga", "Ga", "Ga", "Cu", "Cu", "Cu", "Cu", "Cu", "Cu"],
  "fractional_positions": [[0.130, 0.239, 0.368], [0.370, 0.739, 0.109], [0.630, 0.261, 0.891], [0.870, 0.761, 0.632], [0.014, 0.750, 0.264], [0.110, 0.649, 0.759], [0.250, 0.250, 0.000], [0.390, 0.149, 0.539], [0.486, 0.750, 0.736], [0.514, 0.250, 0.264], [0.610, 0.851, 0.461], [0.750, 0.750, 0.000], [0.890, 0.351, 0.241], [0.986, 0.250, 0.736], [0.132, 0.883, 0.015], [0.250, 0.750, 0.500], [0.368, 0.383, 0.751], [0.632, 0.617, 0.249], [0.750, 0.250, 0.500], [0.868, 0.117, 0.985]]
}

---

no.,final energy (eV per atom)
1,-6.242
2,-5.740
3,-5.763
4,-4.791
5,-4.935
6,-4.385